(1)
DFT (PBE) results for crystalline CsK2ZnP at its relaxed geometry.

For the formation energy, the calculation gives 0.004 eV/atom.

Structure (CIF):
```
data_CsK2ZnP
_space_group_name_H-M_alt 'P 4/m m m'
_space_group_IT_number 123
_space_group_name_Hall '-P 4 2'
_cell_length_a 6.510
_cell_length_b 6.510
_cell_length_c 5.005
_cell_angle_alpha 90.00
_cell_angle_beta 90.00
_cell_angle_gamma 90.00
loop_
_atom_site_label
_atom_site_fract_x
_atom_site_fract_y
_atom_site_fract_z
_atom_site_occupancy
Cs1 0.000 0.000 0.000 1
K1 0.000 0.500 0.500 1
Zn1 0.500 0.500 0.000 1
P1 0.500 0.500 0.500 1
```



(2)
DFT (PBE) results for crystalline CsK2Pa3S8 at its relaxed geometry.

The formation energy from raw total energies is -1.5339 eV per atom.

Structure (CIF):
```
data_CsK2Pa3S8
_space_group_name_H-M_alt 'R 3 m'
_space_group_IT_number 160
_space_group_name_Hall 'R 3 -2"'
_cell_length_a 8.3139
_cell_length_b 8.3139
_cell_length_c 23.5597
_cell_angle_alpha 90.00
_cell_angle_beta 90.00
_cell_angle_gamma 120.00
loop_
_atom_site_label
_atom_site_fract_x
_atom_site_fract_y
_atom_site_fract_z
_atom_site_occupancy
Cs1 0.0000 0.0000 0.0000 1
K1 0.0000 0.0000 0.2629 1
K2 0.0000 0.0000 0.6357 1
Pa1 0.0010 0.5005 0.1358 1
S1 0.0000 0.0000 0.4075 1
S2 0.0000 0.0000 0.8603 1
S3 0.0427 0.5213 0.4092 1
S4 0.1852 0.3704 0.1970 1
```



(3)
DFT (PBE) results for crystalline Cs2KPa3S8 at its relaxed geometry.

The formation energy from raw total energies is -1.5289 eV per atom.

Structure (CIF):
```
data_Cs2KPa3S8
_space_group_name_H-M_alt 'R 3 m'
_space_group_IT_number 160
_space_group_name_Hall 'R 3 -2"'
_cell_length_a 8.3006
_cell_length_b 8.3006
_cell_length_c 24.7905
_cell_angle_alpha 90.00
_cell_angle_beta 90.00
_cell_angle_gamma 120.00
loop_
_atom_site_label
_atom_site_fract_x
_atom_site_fract_y
_atom_site_fract_z
_atom_site_occupancy
Cs1 0.0000 0.0000 0.0000 1
Cs2 0.0000 0.0000 0.3631 1
K1 0.0000 0.0000 0.7453 1
Pa1 0.1671 0.3342 0.1971 1
S1 0.0000 0.0000 0.1400 1
S2 0.0000 0.0000 0.5895 1
S3 0.0356 0.5178 0.1395 1
S4 0.1842 0.3684 0.9197 1
```



(4)
DFT (PBE) results for crystalline Cs2KPaS4 at its relaxed geometry.

The formation energy from raw total energies is -1.4563 eV per atom.

Structure (CIF):
```
data_Cs2KPaS4
_space_group_name_H-M_alt 'P 1 2/m 1'
_space_group_IT_number 10
_space_group_name_Hall '-P 2y'
_cell_length_a 7.813
_cell_length_b 4.287
_cell_length_c 8.357
_cell_angle_alpha 90.00
_cell_angle_beta 107.91
_cell_angle_gamma 90.00
loop_
_atom_site_label
_atom_site_fract_x
_atom_site_fract_y
_atom_site_fract_z
_atom_site_occupancy
Cs1 0.000 0.000 0.000 1
Cs2 0.500 0.500 0.000 1
K1 0.000 0.500 0.500 1
Pa1 0.500 0.000 0.500 1
S1 0.292 0.000 0.684 1
S2 0.309 0.500 0.319 1
```



(5)
DFT (PBE) results for crystalline Cs3K2PaSe6 at its relaxed geometry.

The formation energy from raw total energies is -1.1506 eV per atom.

Structure (CIF):
```
data_Cs3K2PaSe6
_space_group_name_H-M_alt 'C 1 2/m 1'
_space_group_IT_number 12
_space_group_name_Hall '-C 2y'
_cell_length_a 8.309
_cell_length_b 14.282
_cell_length_c 8.574
_cell_angle_alpha 90.00
_cell_angle_beta 108.73
_cell_angle_gamma 90.00
loop_
_atom_site_label
_atom_site_fract_x
_atom_site_fract_y
_atom_site_fract_z
_atom_site_occupancy
Cs1 0.000 0.000 0.000 1
Cs2 0.000 0.321 0.000 1
K1 0.000 0.165 0.500 1
Pa1 0.000 0.500 0.500 1
Se1 0.204 0.361 0.695 1
Se2 0.207 0.500 0.301 1
```



(6)
DFT (PBE) results for crystalline Cs2KPa3Se8 at its relaxed geometry.

The formation energy from raw total energies is -1.3565 eV per atom.

Structure (CIF):
```
data_Cs2KPa3Se8
_space_group_name_H-M_alt 'R 3 m'
_space_group_IT_number 160
_space_group_name_Hall 'R 3 -2"'
_cell_length_a 8.6063
_cell_length_b 8.6063
_cell_length_c 25.7451
_cell_angle_alpha 90.00
_cell_angle_beta 90.00
_cell_angle_gamma 120.00
loop_
_atom_site_label
_atom_site_fract_x
_atom_site_fract_y
_atom_site_fract_z
_atom_site_occupancy
Cs1 0.0000 0.0000 0.0000 1
Cs2 0.0000 0.0000 0.3612 1
K1 0.0000 0.0000 0.6256 1
Pa1 0.0014 0.5007 0.4994 1
Se1 0.0000 0.0000 0.2247 1
Se2 0.0000 0.0000 0.7711 1
Se3 0.0308 0.5154 0.7755 1
Se4 0.1812 0.3625 0.5584 1
```



(7)
DFT (PBE) results for crystalline Cs2KPaSe4 at its relaxed geometry.

The formation energy from raw total energies is -1.3577 eV per atom.

Structure (CIF):
```
data_Cs2KPaSe4
_space_group_name_H-M_alt 'P 1 2/m 1'
_space_group_IT_number 10
_space_group_name_Hall '-P 2y'
_cell_length_a 8.106
_cell_length_b 4.456
_cell_length_c 8.645
_cell_angle_alpha 90.00
_cell_angle_beta 107.44
_cell_angle_gamma 90.00
loop_
_atom_site_label
_atom_site_fract_x
_atom_site_fract_y
_atom_site_fract_z
_atom_site_occupancy
Cs1 0.000 0.000 0.000 1
Cs2 0.500 0.500 0.000 1
K1 0.000 0.500 0.500 1
Pa1 0.500 0.000 0.500 1
Se1 0.288 0.000 0.689 1
Se2 0.307 0.500 0.316 1
```



(8)
DFT (PBE) results for crystalline Cs2KPa2Te5 at its relaxed geometry.

The formation energy from raw total energies is -0.9124 eV per atom.

Structure (CIF):
```
data_Cs2KPa2Te5
_space_group_name_H-M_alt 'P 4/m b m'
_space_group_IT_number 127
_space_group_name_Hall '-P 4 2ab'
_cell_length_a 14.079
_cell_length_b 14.079
_cell_length_c 4.066
_cell_angle_alpha 90.00
_cell_angle_beta 90.00
_cell_angle_gamma 90.00
loop_
_atom_site_label
_atom_site_fract_x
_atom_site_fract_y
_atom_site_fract_z
_atom_site_occupancy
Cs1 0.182 0.318 0.000 1
K1 0.000 0.000 0.000 1
Pa1 0.118 0.618 0.000 1
Te1 0.000 0.500 0.500 1
Te2 0.070 0.777 0.500 1
```



(9)
DFT (PBE) results for crystalline Cs2KPaTe4 at its relaxed geometry.

The formation energy from raw total energies is -1.0315 eV per atom.

Structure (CIF):
```
data_Cs2KPaTe4
_space_group_name_H-M_alt 'P 1 2/m 1'
_space_group_IT_number 10
_space_group_name_Hall '-P 2y'
_cell_length_a 8.640
_cell_length_b 4.755
_cell_length_c 9.164
_cell_angle_alpha 90.00
_cell_angle_beta 107.04
_cell_angle_gamma 90.00
loop_
_atom_site_label
_atom_site_fract_x
_atom_site_fract_y
_atom_site_fract_z
_atom_site_occupancy
Cs1 0.000 0.000 0.000 1
Cs2 0.500 0.500 0.000 1
K1 0.000 0.500 0.500 1
Pa1 0.500 0.000 0.500 1
Te1 0.283 0.000 0.694 1
Te2 0.305 0.500 0.314 1
```



(10)
DFT (PBE) results for crystalline CsK6Pb at its relaxed geometry.

For the formation energy, the calculation gives 0.007 eV/atom.

Structure (CIF):
```
data_CsK6Pb
_space_group_name_H-M_alt 'C 1 2/m 1'
_space_group_IT_number 12
_space_group_name_Hall '-C 2y'
_cell_length_a 10.133
_cell_length_b 14.604
_cell_length_c 8.569
_cell_angle_alpha 90.00
_cell_angle_beta 123.41
_cell_angle_gamma 90.00
loop_
_atom_site_label
_atom_site_fract_x
_atom_site_fract_y
_atom_site_fract_z
_atom_site_occupancy
Cs1 0.000 0.000 0.000 1
K1 0.071 0.500 0.310 1
K2 0.213 0.215 0.739 1
Pb1 0.000 0.000 0.500 1
```



(11)
DFT (PBE) results for crystalline Cs2K5Pb at its relaxed geometry.

For the formation energy, the calculation gives 0.010 eV/atom.

Structure (CIF):
```
data_Cs2K5Pb
_space_group_name_H-M_alt 'F m m 2'
_space_group_IT_number 42
_space_group_name_Hall 'F 2 -2'
_cell_length_a 11.891
_cell_length_b 11.911
_cell_length_c 17.982
_cell_angle_alpha 90.00
_cell_angle_beta 90.00
_cell_angle_gamma 90.00
loop_
_atom_site_label
_atom_site_fract_x
_atom_site_fract_y
_atom_site_fract_z
_atom_site_occupancy
Cs1 0.250 0.250 0.000 1
K1 0.000 0.000 0.106 1
K2 0.000 0.241 0.786 1
K3 0.241 0.000 0.786 1
Pb1 0.000 0.000 0.911 1
```



(12)
DFT (PBE) results for crystalline Cs3K6Pb2 at its relaxed geometry.

For the formation energy, the calculation gives -0.027 eV/atom.

Structure (CIF):
```
data_Cs3K6Pb2
_space_group_name_H-M_alt 'I 4/m m m'
_space_group_IT_number 139
_space_group_name_Hall '-I 4 2'
_cell_length_a 6.572
_cell_length_b 6.572
_cell_length_c 35.769
_cell_angle_alpha 90.00
_cell_angle_beta 90.00
_cell_angle_gamma 90.00
loop_
_atom_site_label
_atom_site_fract_x
_atom_site_fract_y
_atom_site_fract_z
_atom_site_occupancy
Cs1 0.000 0.000 0.000 1
Cs2 0.000 0.000 0.205 1
K1 0.000 0.000 0.342 1
K2 0.000 0.500 0.084 1
Pb1 0.000 0.000 0.459 1
```



(13)
DFT (PBE) results for crystalline Cs2KPb2 at its relaxed geometry.

Its relative energy among the computed polymorphs is 125 meV per atom. For the formation energy, the calculation gives 0.024 eV/atom.

Structure (CIF):
```
data_Cs2KPb2
_space_group_name_H-M_alt 'P 4/m b m'
_space_group_IT_number 127
_space_group_name_Hall '-P 4 2ab'
_cell_length_a 11.366
_cell_length_b 11.366
_cell_length_c 3.902
_cell_angle_alpha 90.00
_cell_angle_beta 90.00
_cell_angle_gamma 90.00
loop_
_atom_site_label
_atom_site_fract_x
_atom_site_fract_y
_atom_site_fract_z
_atom_site_occupancy
Cs1 0.194 0.306 0.000 1
K1 0.000 0.000 0.000 1
Pb1 0.097 0.597 0.500 1
```



(14)
DFT (PBE) results for crystalline Cs2KPb2 at its relaxed geometry.

Its relative energy among the computed polymorphs is 0 meV per atom. For the formation energy, the calculation gives -0.101 eV/atom.

Structure (CIF):
```
data_Cs2KPb2
_space_group_name_H-M_alt 'C 1 2/c 1'
_space_group_IT_number 15
_space_group_name_Hall '-C 2yc'
_cell_length_a 13.816
_cell_length_b 7.394
_cell_length_c 11.132
_cell_angle_alpha 90.00
_cell_angle_beta 103.09
_cell_angle_gamma 90.00
loop_
_atom_site_label
_atom_site_fract_x
_atom_site_fract_y
_atom_site_fract_z
_atom_site_occupancy
Cs1 0.148 0.191 0.136 1
K1 0.000 0.356 0.750 1
Pb1 0.149 0.306 0.489 1
```



(15)
DFT (PBE) results for crystalline CsK2Pb at its relaxed geometry.

For the formation energy, the calculation gives 0.047 eV/atom.

Structure (CIF):
```
data_CsK2Pb
_space_group_name_H-M_alt 'P 4/m m m'
_space_group_IT_number 123
_space_group_name_Hall '-P 4 2'
_cell_length_a 6.258
_cell_length_b 6.258
_cell_length_c 5.184
_cell_angle_alpha 90.00
_cell_angle_beta 90.00
_cell_angle_gamma 90.00
loop_
_atom_site_label
_atom_site_fract_x
_atom_site_fract_y
_atom_site_fract_z
_atom_site_occupancy
Cs1 0.000 0.000 0.000 1
K1 0.000 0.500 0.500 1
Pb1 0.500 0.500 0.000 1
```



(16)
DFT (PBE) results for crystalline CsK2Pb9 at its relaxed geometry.

For the formation energy, the calculation gives -0.128 eV/atom.

Structure (CIF):
```
data_CsK2Pb9
_space_group_name_H-M_alt 'R -3 m'
_space_group_IT_number 166
_space_group_name_Hall '-R 3 2"'
_cell_length_a 6.9730
_cell_length_b 6.9730
_cell_length_c 31.6668
_cell_angle_alpha 90.00
_cell_angle_beta 90.00
_cell_angle_gamma 120.00
loop_
_atom_site_label
_atom_site_fract_x
_atom_site_fract_y
_atom_site_fract_z
_atom_site_occupancy
Cs1 0.0000 0.0000 0.0000 1
K1 0.0000 0.0000 0.1406 1
Pb1 0.0000 0.0000 0.3387 1
Pb2 0.0000 0.0000 0.5000 1
Pb3 0.0070 0.5035 0.9151 1
```



(17)
DFT (PBE) results for crystalline CsKPb4 at its relaxed geometry.

For the formation energy, the calculation gives -0.099 eV/atom.

Structure (CIF):
```
data_CsKPb4
_space_group_name_H-M_alt 'F -4 3 m'
_space_group_IT_number 216
_space_group_name_Hall 'F -4 2 3'
_cell_length_a 9.715
_cell_length_b 9.715
_cell_length_c 9.715
_cell_angle_alpha 90.00
_cell_angle_beta 90.00
_cell_angle_gamma 90.00
loop_
_atom_site_label
_atom_site_fract_x
_atom_site_fract_y
_atom_site_fract_z
_atom_site_occupancy
Cs1 0.000 0.000 0.000 1
K1 0.250 0.250 0.250 1
Pb1 0.124 0.124 0.624 1
```



(18)
DFT (PBE) results for crystalline Cs2KPb2 at its relaxed geometry.

Its relative energy among the computed polymorphs is 102 meV per atom. For the formation energy, the calculation gives 0.000 eV/atom.

Structure (CIF):
```
data_Cs2KPb2
_space_group_name_H-M_alt 'P 4/m b m'
_space_group_IT_number 127
_space_group_name_Hall '-P 4 2ab'
_cell_length_a 10.871
_cell_length_b 10.871
_cell_length_c 4.540
_cell_angle_alpha 90.00
_cell_angle_beta 90.00
_cell_angle_gamma 90.00
loop_
_atom_site_label
_atom_site_fract_x
_atom_site_fract_y
_atom_site_fract_z
_atom_site_occupancy
Cs1 0.192 0.308 0.000 1
K1 0.000 0.000 0.500 1
Pb1 0.099 0.599 0.500 1
```



(19)
DFT (PBE) results for crystalline CsK2Pb at its relaxed geometry.

For the formation energy, the calculation gives 0.016 eV/atom.

Structure (CIF):
```
data_CsK2Pb
_space_group_name_H-M_alt 'P 4/m m m'
_space_group_IT_number 123
_space_group_name_Hall '-P 4 2'
_cell_length_a 4.700
_cell_length_b 4.700
_cell_length_c 10.173
_cell_angle_alpha 90.00
_cell_angle_beta 90.00
_cell_angle_gamma 90.00
loop_
_atom_site_label
_atom_site_fract_x
_atom_site_fract_y
_atom_site_fract_z
_atom_site_occupancy
Cs1 0.000 0.000 0.000 1
K1 0.500 0.500 0.323 1
Pb1 0.000 0.000 0.500 1
```



(20)
DFT (PBE) results for crystalline Cs2KPb at its relaxed geometry.

Its relative energy among the computed polymorphs is 265 meV per atom. For the formation energy, the calculation gives 0.292 eV/atom.

Structure (CIF):
```
data_Cs2KPb
_space_group_name_H-M_alt 'R -3 m'
_space_group_IT_number 166
_space_group_name_Hall '-R 3 2"'
_cell_length_a 4.4217
_cell_length_b 4.4217
_cell_length_c 48.2250
_cell_angle_alpha 90.00
_cell_angle_beta 90.00
_cell_angle_gamma 120.00
loop_
_atom_site_label
_atom_site_fract_x
_atom_site_fract_y
_atom_site_fract_z
_atom_site_occupancy
Cs1 0.0000 0.0000 0.0773 1
K1 0.0000 0.0000 0.5000 1
Pb1 0.0000 0.0000 0.0000 1
```



(21)
DFT (PBE) results for crystalline CsK2Pb at its relaxed geometry.

For the formation energy, the calculation gives 0.276 eV/atom.

Structure (CIF):
```
data_CsK2Pb
_space_group_name_H-M_alt 'R -3 m'
_space_group_IT_number 166
_space_group_name_Hall '-R 3 2"'
_cell_length_a 4.2149
_cell_length_b 4.2149
_cell_length_c 47.2517
_cell_angle_alpha 90.00
_cell_angle_beta 90.00
_cell_angle_gamma 120.00
loop_
_atom_site_label
_atom_site_fract_x
_atom_site_fract_y
_atom_site_fract_z
_atom_site_occupancy
Cs1 0.0000 0.0000 0.0000 1
K1 0.0000 0.0000 0.4257 1
Pb1 0.0000 0.0000 0.5000 1
```



(22)
DFT (PBE) results for crystalline Cs2K5Pb4 at its relaxed geometry.

For the formation energy, the calculation gives -0.081 eV/atom.

Structure (CIF):
```
data_Cs2K5Pb4
_space_group_name_H-M_alt 'C 1 2/m 1'
_space_group_IT_number 12
_space_group_name_Hall '-C 2y'
_cell_length_a 17.148
_cell_length_b 7.957
_cell_length_c 10.777
_cell_angle_alpha 90.00
_cell_angle_beta 120.79
_cell_angle_gamma 90.00
loop_
_atom_site_label
_atom_site_fract_x
_atom_site_fract_y
_atom_site_fract_z
_atom_site_occupancy
Cs1 0.242 0.000 0.108 1
K1 0.000 0.500 0.000 1
K2 0.115 0.246 0.407 1
Pb1 0.077 0.000 0.672 1
Pb2 0.232 0.500 0.262 1
```



(23)
DFT (PBE) results for crystalline CsK2Pb at its relaxed geometry.

For the formation energy, the calculation gives -0.018 eV/atom.

Structure (CIF):
```
data_CsK2Pb
_space_group_name_H-M_alt 'R 3 m'
_space_group_IT_number 160
_space_group_name_Hall 'R 3 -2"'
_cell_length_a 6.2951
_cell_length_b 6.2951
_cell_length_c 20.5577
_cell_angle_alpha 90.00
_cell_angle_beta 90.00
_cell_angle_gamma 120.00
loop_
_atom_site_label
_atom_site_fract_x
_atom_site_fract_y
_atom_site_fract_z
_atom_site_occupancy
Cs1 0.0000 0.0000 0.0000 1
K1 0.0000 0.0000 0.5408 1
K2 0.0000 0.0000 0.7962 1
Pb1 0.0000 0.0000 0.2035 1
```